First-principles (meta-GGA SCAN) data for a crystal of AgAuSe2 relaxed with PBEsol, as listed in Alexandria via LeMat-Bulk.

It has space group C2/m (No. 12), with a = 8.217 Å, b = 2.824 Å, c = 7.192 Å, α = 90.00°, β = 90.40° and γ = 90.00°. The inequivalent atoms are Ag at (0.000, 0.000, 0.000), Au at (0.000, 0.500, 0.500) and Se at (0.188, 0.500, 0.765).

The value obtained for the volume is 20.87 Å³ per atom. For the total moment, the calculation gives 0.00 μB per cell. The value obtained for the raw total energy is -35.177 eV per atom.